Record 1
Material: CsNbF3
Method: DFT, GGA-PBE
State: optimized geometry

Calculated values
* crystal system: tetragonal
* total magnetic moment: 2.5 μB/cell
* distance to the lowest polymorph of the same formula: 0.404 eV/atom
* uncorrected energy: -25.6 eV per cell

Cell lengths 3.7492, 3.7492, 6.6841 Å; angles 90.00, 90.00, 90.00 degrees
With the nearest neighbours (Å) after each atom.
Space group P4mm (No. 99)
Inequivalent atoms, fractional coordinates:
Cs (0.0000, 0.0000, 0.0000) x1  1 F 2.59
Nb (0.5000, 0.5000, 0.4824) x1  4 F 2.12
F (0.0000, 0.0000, 0.6119) x1  1 Cs 2.59, 4 F 2.64, 4 Nb 2.79
F (0.0000, 0.5000, 0.3328) x2  2 Nb 2.12

---

Record 2
Material: CsNbF3
Method: DFT, GGA-PBE
State: optimized geometry

Calculated values
* crystal system: cubic
* total magnetic moment: 3.0 μB/cell
* distance to the lowest polymorph of the same formula: 0.000 eV/atom
* uncorrected energy: -27.6 eV per cell

Cell lengths 4.4298, 4.4298, 4.4298 Å; angles 90.00, 90.00, 90.00 degrees
With the nearest neighbours (Å) after each atom.
Space group Pm-3m (No. 221)
Inequivalent atoms, fractional coordinates:
Cs (0.0000, 0.0000, 0.0000) x1  12 F 3.13
Nb (0.5000, 0.5000, 0.5000) x1  6 F 2.21
F (0.0000, 0.5000, 0.5000) x3  2 Nb 2.21

---

Record 3
Material: CsNbF3
Method: DFT, GGA-PBE
State: optimized geometry

Calculated values
* crystal system: orthorhombic
* total magnetic moment: 12.0 μB/cell
* distance to the lowest polymorph of the same formula: 0.006 eV/atom
* uncorrected energy: -110.4 eV per cell

Cell lengths 6.3886, 8.7664, 6.1233 Å; angles 90.00, 90.00, 90.00 degrees
With the nearest neighbours (Å) after each atom.
Space group Pnma (No. 62)
Inequivalent atoms, fractional coordinates:
Cs (0.0122, 0.2500, 0.0017) x4  11 F 2.98-3.16
Nb (0.0000, 0.0000, 0.5000) x4  6 F 2.21
F (0.0461, 0.2500, 0.5007) x4  2 Nb 2.21
F (0.2493, 0.0020, 0.7507) x8  2 Nb 2.21

---

Record 4
Material: CsNbF6
Method: DFT, GGA-PBE
State: optimized geometry

Calculated values
* crystal system: trigonal
* total magnetic moment: 0.0 μB/cell
* uncorrected energy: -139.4 eV per cell

Cell lengths 7.4547, 7.4547, 7.5575 Å; angles 90.00, 90.00, 120.00 degrees
With the nearest neighbours (Å) after each atom.
Space group R-3 (No. 148, hexagonal axes)
Inequivalent atoms, fractional coordinates:
Cs (0.0000, 0.0000, 0.0000) x3  12 F 2.89-3.06
Nb (0.0000, 0.0000, 0.5000) x3  6 F 1.93
F (0.0428, 0.8156, 0.6508) x18  1 Nb 1.93